A plane-wave DFT calculation with PBE-GGA was carried out for crystalline Sr2SnI6 at its relaxed geometry.

## Properties
Volume in Å³/atom: 48.52
Excess energy over the best structure of this formula in the dataset in meV/atom: 2
Density of states at the Fermi level in states/eV per cell: 0.00
Crystal system: tetragonal
Formation energy (no corrections) in kcal/mol of atoms: -29.33

a b c (Å): 7.6877 7.6877 14.7784
angles (deg): 90.00 90.00 90.00
Closest atoms and distances in Å follow each position.
Space group P4_2/mnm (No. 136)
Asymmetric unit:
Sr 0.0000 0.0000 0.1667 (multiplicity 4)  6 I 3.29-3.32
Sn 0.0000 0.0000 0.5000 (multiplicity 2)  6 I 3.21-3.23
I 0.1950 0.1950 0.3372 (multiplicity 8)  1 Sn 3.21, 2 Sr 3.29-3.32
I 0.2026 0.2026 0.0000 (multiplicity 4)  1 Sn 3.23, 2 Sr 3.30


A plane-wave DFT calculation with PBE-GGA was carried out for crystalline Sr5SnI5 at its relaxed geometry.

## Properties
Volume in Å³/atom: 42.67
Density of states at the Fermi level in states/eV per cell: 8.10
Crystal system: monoclinic
Formation energy (no corrections) in kcal/mol of atoms: -29.96

a b c (Å): 15.3179 6.7130 9.6393
angles (deg): 90.00 108.73 90.00
Closest atoms and distances in Å follow each position.
Space group C2/m (No. 12)
Asymmetric unit:
Sr 0.0000 0.0000 0.0000 (multiplicity 2)  2 Sn 3.36, 4 I 3.50-3.57
Sr 0.1527 0.5000 0.3140 (multiplicity 4)  1 Sn 3.18, 5 I 3.37-3.47
Sr 0.1551 0.5000 0.8441 (multiplicity 4)  1 Sn 3.19, 5 I 3.37-3.49
Sn 0.0000 0.5000 0.0000 (multiplicity 2)  6 Sr 3.18-3.36
I 0.0000 0.5000 0.5000 (multiplicity 2)  4 Sr 3.37-3.40
I 0.1683 0.0000 0.8259 (multiplicity 4)  5 Sr 3.37-3.50
I 0.1826 0.0000 0.3411 (multiplicity 4)  5 Sr 3.39-3.57


A plane-wave DFT calculation with PBE-GGA was carried out for crystalline Sr2SnI at its relaxed geometry.

## Properties
Volume in Å³/atom: 36.01
Excess energy over the best structure of this formula in the dataset in meV/atom: 173
Density of states at the Fermi level in states/eV per cell: 16.24
Crystal system: cubic
Formation energy (no corrections) in kcal/mol of atoms: -17.72

a b c (Å): 8.3211 8.3211 8.3211
angles (deg): 90.00 90.00 90.00
Closest atoms and distances in Å follow each position.
Space group Fm-3m (No. 225)
Asymmetric unit:
Sr 0.2500 0.2500 0.2500 (multiplicity 8)  4 I 3.60, 4 Sn 3.60
Sn 0.0000 0.0000 0.0000 (multiplicity 4)  8 Sr 3.60
I 0.0000 0.0000 0.5000 (multiplicity 4)  8 Sr 3.60


A plane-wave DFT calculation with PBE-GGA was carried out for crystalline SrSnI3 at its relaxed geometry.

## Properties
Volume in Å³/atom: 50.61
Excess energy over the best structure of this formula in the dataset in meV/atom: 0
Density of states at the Fermi level in states/eV per cell: 3.05
Crystal system: cubic
Formation energy (no corrections) in kcal/mol of atoms: -14.60

a b c (Å): 6.3253 6.3253 6.3253
angles (deg): 90.00 90.00 90.00
Closest atoms and distances in Å follow each position.
Space group Pm-3m (No. 221)
Asymmetric unit:
Sr 0.0000 0.0000 0.0000 (multiplicity 1)  6 I 3.16
Sn 0.5000 0.5000 0.5000 (multiplicity 1)  12 I 4.47
I 0.0000 0.0000 0.5000 (multiplicity 3)  2 Sr 3.16


A plane-wave DFT calculation with PBE-GGA was carried out for crystalline Sr2TaSnI at its relaxed geometry.

## Properties
Volume in Å³/atom: 41.64
Density of states at the Fermi level in states/eV per cell: 3.77
Crystal system: tetragonal
Formation energy (no corrections) in kcal/mol of atoms: 6.01

a b c (Å): 6.2771 6.2771 5.2834
angles (deg): 90.00 90.00 90.00
Closest atoms and distances in Å follow each position.
Space group P4/mmm (No. 123)
Asymmetric unit:
Sr 0.0000 0.5000 0.0000 (multiplicity 2)  2 Ta 3.14
Ta 0.0000 0.0000 0.0000 (multiplicity 1)  2 Sn 2.64
Sn 0.0000 0.0000 0.5000 (multiplicity 1)  2 Ta 2.64
I 0.5000 0.5000 0.5000 (multiplicity 1)  8 Sr 4.10, 4 Sn 4.44


A plane-wave DFT calculation with PBE-GGA was carried out for crystalline SrSnTeI2 at its relaxed geometry.

## Properties
Volume in Å³/atom: 48.25
Excess energy over the best structure of this formula in the dataset in meV/atom: 232
Density of states at the Fermi level in states/eV per cell: 0.81
Crystal system: tetragonal
Formation energy (no corrections) in kcal/mol of atoms: -8.82

a b c (Å): 6.0961 6.0961 6.4923
angles (deg): 90.00 90.00 90.00
Closest atoms and distances in Å follow each position.
Space group P4/mmm (No. 123)
Asymmetric unit:
Sr 0.0000 0.0000 0.0000 (multiplicity 1)  4 I 3.05, 2 Te 3.25
Sn 0.5000 0.5000 0.5000 (multiplicity 1)  4 Te 4.31, 8 I 4.45
Te 0.0000 0.0000 0.5000 (multiplicity 1)  2 Sr 3.25
I 0.0000 0.5000 0.0000 (multiplicity 2)  2 Sr 3.05